1.
A plane-wave DFT calculation with PBE was carried out for a relaxed structure of CdPdAu2F8.

Computed properties:
D(E_F): 16.98 states/eV/cell
V: 15.9 A^3/atom
E_tot: -81.245 eV for the cell shown
Total moment: 4.179 μB/cell

a b c (Å): 6.8448 6.8448 8.1299
angles (deg): 90.00 90.00 90.00
Space group I-4m2 (No. 119)
Asymmetric unit:
Cd 0.0000 0.0000 0.0000 (multiplicity 2)
Pd 0.0000 0.5000 0.2500 (multiplicity 2)
Au 0.0000 0.0000 0.5000 (multiplicity 2)
Au 0.0000 0.5000 0.7500 (multiplicity 2)
F 0.0000 0.2034 0.2715 (multiplicity 8)
F 0.0000 0.3173 0.9651 (multiplicity 8)

***

2.
A plane-wave DFT calculation with PBE was carried out for a relaxed structure of Ac3Sm2Sn3.

Computed properties:
D(E_F): 18.33 states/eV/cell
Energy of formation: -0.648 eV/atom
V: 35.0 A^3/atom
E_tot: -77.908 eV for the cell shown
Total moment: 0.000 μB/cell

a b c (Å): 9.6593 9.6593 6.9287
angles (deg): 90.00 90.00 120.00
Space group P6_3/mcm (No. 193)
Asymmetric unit:
Ac 0.0000 0.2468 0.2500 (multiplicity 6)
Sm 0.3333 0.6667 0.0000 (multiplicity 4)
Sn 0.0000 0.4000 0.7500 (multiplicity 6)

***

3.
A plane-wave DFT calculation with PBE was carried out for a relaxed structure of Sr4LiPr3Se8.

Computed properties:
D(E_F): 13.37 states/eV/cell
V: 28.8 A^3/atom
E_tot: -243.149 eV for the cell shown
Total moment: 0.000 μB/cell

a b c (Å): 8.6383 8.6383 21.3712
angles (deg): 90.00 90.00 120.00
Space group R-3m (No. 166, hexagonal axes)
Asymmetric unit:
Sr 0.0000 0.0000 0.0000 (multiplicity 3)
Sr 0.0000 0.5000 0.0000 (multiplicity 9)
Li 0.0000 0.0000 0.5000 (multiplicity 3)
Pr 0.0000 0.5000 0.5000 (multiplicity 9)
Se 0.0000 0.0000 0.2476 (multiplicity 6)
Se 0.0026 0.5013 0.2459 (multiplicity 18)

***

4.
A plane-wave DFT calculation with PBE was carried out for a relaxed structure of Ac2Bi2Rh3.

Computed properties:
D(E_F): 16.32 states/eV/cell
Energy of formation: -0.662 eV/atom
Polymorph energy (0 for the lowest one): 0.000 eV per atom
V: 26.4 A^3/atom
E_tot: -170.680 eV for the cell shown
Total moment: 0.000 μB/cell

a b c (Å): 9.0446 9.0446 9.0446
angles (deg): 90.00 90.00 90.00
Space group I2_13 (No. 199)
Asymmetric unit:
Ac 0.2418 0.2418 0.2418 (multiplicity 8)
Bi 0.0406 0.4594 0.5406 (multiplicity 8)
Rh 0.0000 0.2500 0.0217 (multiplicity 12)